[1]
# PBE Pu2HgH, optimized geometry
# Relative energy among the computed polymorphs ... 0.0 meV per atom
data_Pu2HgH
_cell_length_a 3.5032
_cell_length_b 3.5032
_cell_length_c 19.9245
_cell_angle_alpha 90.00
_cell_angle_beta 90.00
_cell_angle_gamma 120.00
_space_group_name_H-M_alt 'R 3 m'
_space_group_IT_number 160
_space_group_name_Hall 'R 3 -2"'
loop_
_atom_site_label
_atom_site_fract_x
_atom_site_fract_y
_atom_site_fract_z
Pu1 0.0000 0.0000 0.0000
Pu2 0.0000 0.0000 0.2681
Hg1 0.0000 0.0000 0.7930
H1 0.0000 0.0000 0.5541

=====

[2]
# PBE PuHgH7Rh2, optimized geometry
# E_tot ... -4.913 eV per atom
data_PuHgH7Rh2
_cell_length_a 3.6178
_cell_length_b 3.6178
_cell_length_c 17.2299
_cell_angle_alpha 90.00
_cell_angle_beta 90.00
_cell_angle_gamma 90.00
_space_group_name_H-M_alt 'I -4 m 2'
_space_group_IT_number 119
_space_group_name_Hall 'I -4 -2'
loop_
_atom_site_label
_atom_site_fract_x
_atom_site_fract_y
_atom_site_fract_z
Pu1 0.0000 0.0000 0.0000
Hg1 0.0000 0.5000 0.2500
H1 0.0000 0.0000 0.2892
H2 0.0000 0.0000 0.5000
H3 0.0000 0.5000 0.0941
H4 0.0000 0.5000 0.6038
Rh1 0.0000 0.0000 0.3916

=====

[3]
# PBE PuHgH8Rh4, optimized geometry
# E_tot ... -5.110 eV per atom
data_PuHgH8Rh4
_cell_length_a 5.7017
_cell_length_b 5.7017
_cell_length_c 14.4569
_cell_angle_alpha 90.00
_cell_angle_beta 90.00
_cell_angle_gamma 120.00
_space_group_name_H-M_alt 'R 3 m'
_space_group_IT_number 160
_space_group_name_Hall 'R 3 -2"'
loop_
_atom_site_label
_atom_site_fract_x
_atom_site_fract_y
_atom_site_fract_z
Pu1 0.0000 0.0000 0.0000
Hg1 0.0000 0.0000 0.6149
H1 0.0000 0.0000 0.3798
H2 0.0000 0.0000 0.8424
H3 0.0612 0.5306 0.4042
H4 0.0740 0.5370 0.8293
Rh1 0.0000 0.0000 0.2486
Rh2 0.0062 0.5031 0.1247

=====

[4]
# PBE Rb2Hg4H5, optimized geometry
# E_tot ... -1.694 eV per atom
data_Rb2Hg4H5
_cell_length_a 6.3958
_cell_length_b 6.9668
_cell_length_c 11.8570
_cell_angle_alpha 90.00
_cell_angle_beta 99.09
_cell_angle_gamma 90.00
_space_group_name_H-M_alt 'C 1 2/m 1'
_space_group_IT_number 12
loop_
_space_group_symop_operation_xyz
'x,y,z'
'-x,-y,-z'
'-x,y,-z'
'x,-y,z'
'x+1/2,y+1/2,z'
'-x+1/2,-y+1/2,-z'
'-x+1/2,y+1/2,-z'
'x+1/2,-y+1/2,z'
loop_
_atom_site_label
_atom_site_fract_x
_atom_site_fract_y
_atom_site_fract_z
Rb1 0.2401 0.0000 0.2839
Hg1 0.1875 0.5000 0.1116
Hg2 0.2225 0.0000 0.5801
H1 0.0000 0.5000 0.5000
H2 0.1865 0.2595 0.1062